Entry 1:
TiNb3Rh (PBE-GGA, relaxed); DOS(E_F) = 1.482 states/eV/atom; magnetic moment = 0.3 μB/f.u.; space group = Imm2 (44); E above lowest polymorph = 0.00 kcal/mol of atoms
1.0
2.7395 0.0000 0.0000
0.0000 4.6808 0.0000
0.0000 0.0000 13.6319
Ti Nb Rh
2 6 2
Cartesian
0.0000 0.0000 0.0000
1.3697 2.3404 6.8159
0.0000 0.0000 5.4242
0.0000 2.3404 3.9400
0.0000 2.3404 9.4183
1.3697 0.0000 2.6024
1.3697 0.0000 10.7559
1.3697 2.3404 12.2402
0.0000 0.0000 8.0026
1.3697 2.3404 1.1866

Entry 2:
Ta2GeTeRh (PBE-GGA, relaxed); DOS(E_F) = 1.331 states/eV/atom; magnetic moment = 0.0 μB/f.u.; energy = -6.90 eV/atom; space group = P4/mmm (123)
1.0
4.8530 0.0000 0.0000
0.0000 4.8530 0.0000
0.0000 0.0000 4.5015
Ta Ge Te Rh
2 1 1 1
Cartesian
0.0000 2.4265 0.0000
2.4265 0.0000 0.0000
0.0000 0.0000 0.0000
2.4265 2.4265 2.2508
0.0000 0.0000 2.2508

Entry 3:
Hf2Ga2Co5Si (PBE-GGA, relaxed); DOS(E_F) = 0.810 states/eV/atom; magnetic moment = 0.4 μB/f.u.; energy = -7.01 eV/atom; space group = P4/mbm (127)
1.0
9.5226 0.0000 0.0000
0.0000 9.5226 0.0000
0.0000 0.0000 2.9780
Hf Ga Co Si
4 4 10 2
Cartesian
1.6233 3.1380 0.0000
3.1380 7.8993 0.0000
6.3846 1.6233 0.0000
7.8993 6.3846 0.0000
1.2692 6.0305 0.0000
3.4921 1.2692 0.0000
6.0305 8.2535 0.0000
8.2535 3.4921 0.0000
0.0000 4.7613 1.4890
0.3214 7.6654 1.4890
1.8572 0.3214 1.4890
2.9041 5.0827 1.4890
4.4400 2.9041 1.4890
4.7613 0.0000 1.4890
5.0827 6.6185 1.4890
6.6185 4.4400 1.4890
7.6654 9.2013 1.4890
9.2013 1.8572 1.4890
0.0000 0.0000 0.0000
4.7613 4.7613 0.0000

Entry 4:
PrDyAg (PBE-GGA, relaxed); DOS(E_F) = 1.142 states/eV/atom; magnetic moment = 0.0 μB/f.u.; space group = Pnma (62); E above lowest polymorph = 0.00 kcal/mol of atoms
1.0
7.2413 0.0000 0.0000
0.0000 5.1479 0.0000
0.0000 0.0000 9.2316
Pr Dy Ag
4 4 4
Cartesian
0.0950 1.2870 1.6973
3.5257 3.8610 6.3131
3.7156 1.2870 2.9186
7.1464 3.8610 7.5344
1.0943 1.2870 5.3432
2.5264 3.8610 0.7274
4.7149 1.2870 8.5042
6.1470 3.8610 3.8884
1.7998 1.2870 8.2973
1.8209 3.8610 3.6815
5.4205 1.2870 5.5501
5.4415 3.8610 0.9343

Entry 5:
LaBiI2 (PBE-GGA, relaxed); DOS(E_F) = 0.957 states/eV/atom; magnetic moment = 0.0 μB/f.u.; space group = Fm-3m (225); E above lowest polymorph = 1.94 kcal/mol of atoms
1.0
8.0964 0.0000 0.0000
0.0000 8.0964 0.0000
0.0000 0.0000 8.0964
La Bi I
4 4 8
Cartesian
0.0000 0.0000 0.0000
0.0000 4.0482 4.0482
4.0482 0.0000 4.0482
4.0482 4.0482 0.0000
0.0000 0.0000 4.0482
0.0000 4.0482 0.0000
4.0482 0.0000 0.0000
4.0482 4.0482 4.0482
2.0241 2.0241 2.0241
2.0241 2.0241 6.0723
2.0241 6.0723 2.0241
2.0241 6.0723 6.0723
6.0723 2.0241 2.0241
6.0723 2.0241 6.0723
6.0723 6.0723 2.0241
6.0723 6.0723 6.0723

Entry 6:
K2GaHN (PBE-GGA, relaxed); DOS(E_F) = 0.590 states/eV/atom; magnetic moment = 0.0 μB/f.u.; energy = -2.78 eV/atom; space group = P4/mmm (123)
1.0
6.0021 0.0000 0.0000
0.0000 6.0021 0.0000
0.0000 0.0000 2.7682
K Ga H N
2 1 1 1
Cartesian
0.0000 3.0010 0.0000
3.0010 0.0000 0.0000
0.0000 0.0000 1.3841
3.0010 3.0010 0.0000
3.0010 3.0010 1.3841

Entry 7:
AlSiBr2 (PBE-GGA, relaxed); DOS(E_F) = 0.458 states/eV/atom; magnetic moment = 0.0 μB/f.u.; space group = Pmmm (47); E above lowest polymorph = 13.13 kcal/mol of atoms
1.0
3.4858 0.0000 0.0000
0.0000 4.4758 0.0000
0.0000 0.0000 6.0366
Al Si Br
1 1 2
Cartesian
0.0000 0.0000 0.0000
1.7429 0.0000 3.0183
0.0000 2.2379 3.0183
1.7429 2.2379 0.0000

Entry 8:
CoSiB3 (PBE-GGA, relaxed); DOS(E_F) = 0.450 states/eV/atom; magnetic moment = 0.0 μB/f.u.; space group = Pm-3m (221); E above lowest polymorph = 0.00 kcal/mol of atoms
1.0
3.7896 0.0000 0.0000
0.0000 3.7896 0.0000
0.0000 0.0000 3.7896
Co Si B
1 1 3
Cartesian
0.0000 0.0000 0.0000
1.8948 1.8948 1.8948
0.0000 0.0000 1.8948
0.0000 1.8948 0.0000
1.8948 0.0000 0.0000